LiMgCoRh | PBE | optimized geometry

Properties
- density of states at the Fermi level (states/eV/f.u.) = 2.65
- raw total energy (eV per cell) = -73.588
- mass density (g/cm³) = 5.807

Cell and atoms, written as CIF:
```
data_LiMgCoRh
_space_group_name_H-M_alt 'F -4 3 m'
_space_group_IT_number 216
_space_group_name_Hall 'F -4 2 3'
_cell_length_a 6.0445
_cell_length_b 6.0445
_cell_length_c 6.0445
_cell_angle_alpha 90.00
_cell_angle_beta 90.00
_cell_angle_gamma 90.00
loop_
_atom_site_label
_atom_site_fract_x
_atom_site_fract_y
_atom_site_fract_z
_atom_site_occupancy
Li1 0.0000 0.0000 0.0000 1
Mg1 0.2500 0.2500 0.7500 1
Co1 0.2500 0.2500 0.2500 1
Rh1 0.0000 0.0000 0.5000 1
```